(1)
PBE CaMgSi2Hg, relaxed; SG = P4/mmm, No. 123; size of the total moment = 0.081 μB/atom; Fermi-level density of states = 3.6 states/eV/cell; crystal system = tetragonal; E_form (uncorrected) = 0.969 eV/atom
1.0
-4.128 -3.397 0.431
2.933 -3.112 3.564
-1.933 2.870 4.097
Mg Ca Si Hg
1 1 2 1
Cartesian
-1.564 -1.819 4.047
0.000 0.000 0.000
-0.967 1.435 2.049
-2.064 -1.698 0.216
1.467 -1.556 1.782


(2)
PBE Hf2PaIn, relaxed; SG = R3m, No. 160; size of the total moment = 0.000 μB/atom; Fermi-level density of states = 4.2 states/eV/cell; energy above the lowest structure with this stoichiometry = 0.000 eV per atom; crystal system = trigonal; energy relative to the elements = -0.034 eV/atom
1.0
-2.401 -1.937 0.890
0.046 -3.100 -0.833
4.311 -3.963 8.802
Hf Pa In
2 1 1
Cartesian
3.056 -3.400 6.638
0.468 -2.241 2.179
0.979 -4.500 4.431
-1.569 -3.359 0.040


(3)
PBE DySc4Se6, relaxed; SG = Cmcm, No. 63; size of the total moment = 0.000 μB/atom; Fermi-level density of states = 7.5 states/eV/cell; crystal system = orthorhombic; E_form (uncorrected) = -1.707 eV/atom
1.0
-3.466 0.360 1.644
-1.036 -0.881 -6.506
-0.726 -19.712 2.785
Dy Sc Se
2 8 12
Cartesian
-2.756 -4.961 -0.210
-2.472 -15.272 -1.867
-4.105 -10.915 -1.749
-2.349 -3.022 -4.289
-1.124 -9.319 -0.328
-2.880 -17.212 2.212
-4.413 -19.297 -0.564
-0.815 -0.936 -1.513
-2.697 -12.256 1.512
-2.531 -7.978 -3.589
-1.733 0.180 0.822
-2.096 -9.676 2.215
-0.513 -6.729 0.391
-4.715 -13.505 -2.468
-4.843 -16.970 -1.978
-0.386 -3.263 -0.099
-3.516 -8.297 -1.082
-1.712 -11.937 -0.995
-1.946 -18.282 -0.099
-3.283 -1.951 -1.978
-1.940 -5.373 -2.914
-3.288 -14.860 0.837


(4)
PBE ThFe2Si2B, relaxed; SG = P4/mmm, No. 123; size of the total moment = 0.170 μB/atom; Fermi-level density of states = 5.6 states/eV/cell; crystal system = tetragonal; E_form (uncorrected) = -0.557 eV/atom
1.0
3.972 0.000 0.000
0.000 3.972 0.000
0.000 0.000 5.316
Th Fe Si B
1 2 2 1
Cartesian
0.000 0.000 2.658
1.986 0.000 0.000
0.000 1.986 0.000
1.986 1.986 3.940
1.986 1.986 1.376
0.000 0.000 0.000


(5)
PBE CsSrCa2Tl, relaxed; SG = P4/mmm, No. 123; size of the total moment = 0.000 μB/atom; Fermi-level density of states = 4.5 states/eV/cell; crystal system = tetragonal; energy relative to the elements = -0.021 eV/atom
1.0
6.298 0.000 0.000
0.000 6.298 0.000
0.000 0.000 6.597
Cs Sr Tl Ca
1 1 1 2
Cartesian
3.149 3.149 3.299
0.000 0.000 3.299
0.000 0.000 0.000
0.000 3.149 0.000
3.149 0.000 0.000


(6)
PBE CsPPtS2, relaxed; SG = P4/mmm, No. 123; size of the total moment = 0.099 μB/atom; Fermi-level density of states = 5.6 states/eV/cell; energy above the lowest structure with this stoichiometry = 0.000 eV per atom; crystal system = tetragonal; E_form (uncorrected) = 0.070 eV/atom
1.0
5.277 0.000 0.000
0.000 5.277 0.000
0.000 0.000 4.470
Cs P S Pt
1 1 2 1
Cartesian
2.638 2.638 2.235
0.000 0.000 2.235
0.000 2.638 0.000
2.638 0.000 0.000
0.000 0.000 0.000


(7)
PBE PC5, relaxed; SG = Cm, No. 8; size of the total moment = 0.000 μB/atom; Fermi-level density of states = 0.9 states/eV/cell; energy above the lowest structure with this stoichiometry = 0.063 eV per atom; crystal system = monoclinic; energy relative to the elements = 0.825 eV/atom
1.0
-2.153 -1.859 1.329
-1.182 0.098 2.906
-5.741 3.853 -1.248
P C
1 5
Cartesian
-1.426 -0.371 1.338
-8.198 1.827 2.777
-3.108 -0.234 2.202
-5.043 1.401 1.364
-4.050 0.580 1.772
-7.226 0.965 3.247


(8)
PBE HfInPt2, relaxed; SG = I-42d, No. 122; size of the total moment = 0.000 μB/atom; Fermi-level density of states = 4.8 states/eV/cell; crystal system = tetragonal; energy relative to the elements = -0.424 eV/atom
1.0
-0.555 2.135 -7.094
2.391 -6.681 -2.198
-1.837 -3.235 -4.720
Hf Pt In
2 4 2
Cartesian
0.000 0.000 0.000
-0.737 -1.686 -8.230
-0.515 -0.280 -5.985
0.973 -4.746 -3.344
-0.722 -4.040 -6.994
0.261 -6.494 -11.700
0.918 -2.273 -4.646
0.736 -6.094 -5.782


(9)
PBE LiZr2C, relaxed; SG = R3m, No. 160; size of the total moment = 0.000 μB/atom; Fermi-level density of states = 3.6 states/eV/cell; crystal system = trigonal; energy relative to the elements = -0.318 eV/atom
1.0
-2.878 0.814 -1.415
-1.036 -1.619 -2.693
-5.110 -5.602 3.301
Li Zr C
1 2 1
Cartesian
-4.508 -3.198 -0.408
-4.515 -4.769 2.571
-1.903 -1.107 -0.635
-2.609 -0.537 -2.739


(10)
PBE LaZn2Pd2, relaxed; SG = C2/m, No. 12; size of the total moment = 0.000 μB/atom; Fermi-level density of states = 2.2 states/eV/cell; energy above the lowest structure with this stoichiometry = 0.024 eV per atom; crystal system = monoclinic; energy relative to the elements = -0.614 eV/atom
1.0
4.432 0.106 -1.320
-1.141 4.284 -1.320
-0.207 -0.276 5.380
La Zn Pd
1 2 2
Cartesian
-0.103 -0.138 2.690
1.849 2.467 2.536
1.235 1.648 0.204
3.214 1.019 -1.320
0.077 3.371 -1.320


(11)
PBE Ce4NiPb2, relaxed; SG = P2_1/m, No. 11; size of the total moment = 0.394 μB/atom; Fermi-level density of states = 40.0 states/eV/cell; energy above the lowest structure with this stoichiometry = 0.000 eV per atom; crystal system = monoclinic; energy relative to the elements = -0.298 eV/atom
1.0
-0.426 5.360 -2.765
-6.608 -0.474 0.100
0.158 0.067 10.772
Ce Ni Pb
8 2 4
Cartesian
-3.224 2.783 1.424
-4.848 0.159 9.668
-2.029 4.794 -1.561
-0.469 2.980 1.382
-1.920 4.502 4.253
-6.407 1.973 6.724
-3.653 2.170 6.683
-4.957 0.451 3.853
-5.007 0.636 1.376
-1.869 4.317 6.731
-5.243 3.359 -1.275
-1.634 1.594 9.381
-1.670 0.983 4.105
-5.207 3.970 4.002


(12)
PBE RbMnAgP, relaxed; SG = P4/nmm, No. 129; size of the total moment = 0.420 μB/atom; Fermi-level density of states = 5.4 states/eV/cell; crystal system = tetragonal; energy relative to the elements = -0.252 eV/atom
1.0
-0.227 3.853 0.133
-0.165 -0.143 3.856
13.020 0.749 0.585
Rb Mn Ag P
2 2 2 2
Cartesian
3.065 2.975 3.143
9.562 1.483 1.431
-0.212 2.854 1.064
-0.181 0.856 2.925
6.329 1.230 3.217
6.298 3.228 1.356
11.513 3.461 3.522
1.115 0.997 1.052